VASP calculation (GGA+U) on a geometry-optimized TlNi4F8 structure.

Computed properties:
Mass density ... 4.5 g cm⁻³
Crystal system ... trigonal
Raw total energy ... -51.9 eV for the cell shown

abc: 6.2426 6.2426 7.3508
angles: 64.87 64.87 60.00
Element x y z (fractional)
1 F 0.2685 0.7831 0.1652
2 F 0.7174 0.7174 0.8478
3 F 0.7831 0.2685 0.1652
4 F 0.7315 0.2169 0.8348
5 F 0.2169 0.2169 0.8348
6 F 0.2826 0.2826 0.1522
7 F 0.7831 0.7831 0.1652
8 F 0.2169 0.7315 0.8348
9 Tl 0.5000 0.5000 0.5000
10 Ni 0.5000 0.5000 0.0000
11 Ni 0.0000 0.0000 0.0000
12 Ni 0.5000 0.0000 0.0000
13 Ni 0.0000 0.5000 0.0000